Density functional theory data (PBE) for a geometry-optimized SrTcAu3 structure.

Structure (extended XYZ):
```
5
Lattice="-4.3056 -2.6899 -0.6134 0.4259 -1.7713 4.7782 -2.7259 3.9720 1.7155" Properties=species:S:1:pos:R:3 pbc="T T T"
Au 0.2129 -0.8857 2.3891
Tc 0.0000 0.0000 0.0000
Sr -3.3028 -0.2446 2.9401
Au -2.1528 -1.3449 -0.3067
Au -1.3629 1.9860 0.8577
```

Output
Relative energy among the computed polymorphs, eV per atom: 0.000
DFT formation energy, eV per atom: 0.20
D(E_F), states/eV per atom: 0.7292
Size of the total moment, μB per formula unit: 1.9
Mass density, g/cm3: 9.64